{
  "formula": "Bi3O5",
  "functional": "SCAN",
  "state": "single point on PBEsol structure",
  "vol_a3_per_atom": 15.8,
  "e_form_raw_ev_per_atom": -1.005,
  "lattice_angstrom": [[5.820, -2.779, 0.000], [5.820, 2.779, 0.000], [-3.042, 0.000, 7.829]],
  "species": ["Bi", "Bi", "Bi", "Bi", "Bi", "Bi", "O", "O", "O", "O", "O", "O", "O", "O", "O", "O"],
  "fractional_positions": [[0.000, 0.000, 0.000], [0.000, 0.000, 0.500], [0.320, 0.321, 0.662], [0.321, 0.320, 0.162], [0.679, 0.680, 0.838], [0.680, 0.679, 0.338], [0.020, 0.980, 0.750], [0.091, 0.579, 0.414], [0.091, 0.581, 0.921], [0.419, 0.909, 0.579], [0.421, 0.909, 0.086], [0.579, 0.091, 0.914], [0.581, 0.091, 0.421], [0.909, 0.419, 0.079], [0.909, 0.421, 0.586], [0.980, 0.020, 0.250]]
}



{
  "formula": "InRe2Os",
  "functional": "SCAN",
  "state": "single point on PBEsol structure",
  "vol_a3_per_atom": 15.6,
  "energy_ev_per_atom": -61.527,
  "lattice_angstrom": [[2.822, 0.000, 0.000], [-1.411, 2.444, 0.000], [0.000, 0.000, 27.169]],
  "species": ["In", "In", "In", "Re", "Re", "Re", "Re", "Re", "Re", "Os", "Os", "Os"],
  "fractional_positions": [[0.000, 0.000, 0.000], [0.333, 0.667, 0.667], [0.667, 0.333, 0.333], [0.000, 0.000, 0.244], [0.000, 0.000, 0.499], [0.333, 0.667, 0.166], [0.333, 0.667, 0.911], [0.667, 0.333, 0.577], [0.667, 0.333, 0.832], [0.000, 0.000, 0.755], [0.333, 0.667, 0.421], [0.667, 0.333, 0.088]]
}



{
  "formula": "Er2Ti2O7",
  "functional": "SCAN",
  "state": "single point on PBEsol structure",
  "vol_a3_per_atom": 11.4,
  "e_form_raw_ev_per_atom": -3.676,
  "lattice_angstrom": [[0.000, 4.999, 4.999], [4.999, 0.000, 4.999], [4.999, 4.999, 0.000]],
  "species": ["Er", "Er", "Er", "Er", "Ti", "Ti", "Ti", "Ti", "O", "O", "O", "O", "O", "O", "O", "O", "O", "O", "O", "O", "O", "O"],
  "fractional_positions": [[0.000, 0.000, 0.000], [0.000, 0.000, 0.500], [0.000, 0.500, 0.000], [0.500, 0.000, 0.000], [0.000, 0.500, 0.500], [0.500, 0.000, 0.500], [0.500, 0.500, 0.000], [0.500, 0.500, 0.500], [0.125, 0.125, 0.125], [0.168, 0.168, 0.582], [0.168, 0.582, 0.168], [0.168, 0.582, 0.582], [0.418, 0.418, 0.832], [0.418, 0.832, 0.418], [0.418, 0.832, 0.832], [0.582, 0.168, 0.168], [0.582, 0.168, 0.582], [0.582, 0.582, 0.168], [0.832, 0.418, 0.418], [0.832, 0.418, 0.832], [0.832, 0.832, 0.418], [0.875, 0.875, 0.875]]
}



{
  "formula": "KPt",
  "functional": "SCAN",
  "state": "single point on PBEsol structure",
  "vol_a3_per_atom": 23.1,
  "energy_ev_per_atom": -38.642,
  "lattice_angstrom": [[3.590, 0.000, 0.000], [0.000, 3.590, 0.000], [0.000, 0.000, 3.590]],
  "species": ["K", "Pt"],
  "fractional_positions": [[0.000, 0.000, 0.000], [0.500, 0.500, 0.500]]
}



{
  "formula": "Fe2Re",
  "functional": "SCAN",
  "state": "single point on PBEsol structure",
  "vol_a3_per_atom": 11.5,
  "energy_ev_per_atom": -35.718,
  "lattice_angstrom": [[0.000, 3.253, 3.253], [3.253, 0.000, 3.253], [3.253, 3.253, 0.000]],
  "species": ["Fe", "Fe", "Fe", "Fe", "Re", "Re"],
  "fractional_positions": [[0.000, 0.000, 0.000], [0.000, 0.000, 0.500], [0.000, 0.500, 0.000], [0.500, 0.000, 0.000], [0.375, 0.375, 0.375], [0.625, 0.625, 0.625]]
}



{
  "formula": "Ti2P3O12",
  "functional": "SCAN",
  "state": "single point on PBEsol structure",
  "vol_a3_per_atom": 13.7,
  "e_form_raw_ev_per_atom": -2.667,
  "lattice_angstrom": [[4.293, 2.479, 7.318], [-4.293, 2.479, 7.318], [0.000, -4.958, 7.318]],
  "species": ["Ti", "Ti", "Ti", "Ti", "P", "P", "P", "P", "P", "P", "O", "O", "O", "O", "O", "O", "O", "O", "O", "O", "O", "O", "O", "O", "O", "O", "O", "O", "O", "O", "O", "O", "O", "O"],
  "fractional_positions": [[0.141, 0.141, 0.141], [0.359, 0.359, 0.359], [0.641, 0.641, 0.641], [0.859, 0.859, 0.859], [0.031, 0.750, 0.469], [0.250, 0.531, 0.969], [0.469, 0.031, 0.750], [0.531, 0.969, 0.250], [0.750, 0.469, 0.031], [0.969, 0.250, 0.531], [0.003, 0.775, 0.642], [0.061, 0.925, 0.291], [0.075, 0.709, 0.939], [0.142, 0.275, 0.503], [0.209, 0.575, 0.439], [0.225, 0.358, 0.997], [0.275, 0.503, 0.142], [0.291, 0.061, 0.925], [0.358, 0.997, 0.225], [0.425, 0.561, 0.791], [0.439, 0.209, 0.575], [0.497, 0.858, 0.725], [0.503, 0.142, 0.275], [0.561, 0.791, 0.425], [0.575, 0.439, 0.209], [0.642, 0.003, 0.775], [0.709, 0.939, 0.075], [0.725, 0.497, 0.858], [0.775, 0.642, 0.003], [0.791, 0.425, 0.561], [0.858, 0.725, 0.497], [0.925, 0.291, 0.061], [0.939, 0.075, 0.709], [0.997, 0.225, 0.358]]
}



{
  "formula": "ErPb3",
  "functional": "SCAN",
  "state": "single point on PBEsol structure",
  "vol_a3_per_atom": 27.2,
  "energy_ev_per_atom": -69.780,
  "lattice_angstrom": [[4.773, 0.000, 0.000], [0.000, 4.773, 0.000], [0.000, 0.000, 4.773]],
  "species": ["Er", "Pb", "Pb", "Pb"],
  "fractional_positions": [[0.000, 0.000, 0.000], [0.000, 0.500, 0.500], [0.500, 0.000, 0.500], [0.500, 0.500, 0.000]]
}



{
  "formula": "LiY2Mn",
  "functional": "SCAN",
  "state": "single point on PBEsol structure",
  "vol_a3_per_atom": 21.9,
  "energy_ev_per_atom": -18.870,
  "lattice_angstrom": [[7.050, 0.000, 0.000], [0.000, 7.050, 0.000], [0.000, 0.000, 7.050]],
  "species": ["Li", "Li", "Li", "Li", "Y", "Y", "Y", "Y", "Y", "Y", "Y", "Y", "Mn", "Mn", "Mn", "Mn"],
  "fractional_positions": [[0.000, 0.000, 0.000], [0.000, 0.500, 0.500], [0.500, 0.000, 0.500], [0.500, 0.500, 0.000], [0.000, 0.000, 0.500], [0.000, 0.500, 0.000], [0.250, 0.250, 0.750], [0.250, 0.750, 0.250], [0.500, 0.000, 0.000], [0.500, 0.500, 0.500], [0.750, 0.250, 0.250], [0.750, 0.750, 0.750], [0.250, 0.250, 0.250], [0.250, 0.750, 0.750], [0.750, 0.250, 0.750], [0.750, 0.750, 0.250]]
}



{
  "formula": "Cu2Au",
  "functional": "SCAN",
  "state": "single point on PBEsol structure",
  "vol_a3_per_atom": 15.2,
  "energy_ev_per_atom": -33.051,
  "lattice_angstrom": [[3.424, 0.000, 0.000], [0.000, 3.424, 0.000], [0.000, 0.000, 3.883]],
  "species": ["Cu", "Cu", "Au"],
  "fractional_positions": [[0.000, 0.500, 0.000], [0.500, 0.000, 0.000], [0.000, 0.000, 0.500]]
}



{
  "formula": "Si2SbAsAu",
  "functional": "SCAN",
  "state": "single point on PBEsol structure",
  "vol_a3_per_atom": 23.1,
  "e_form_raw_ev_per_atom": 0.811,
  "lattice_angstrom": [[4.679, 0.000, 0.000], [0.000, 4.679, 0.000], [0.000, 0.000, 5.285]],
  "species": ["Si", "Si", "Sb", "As", "Au"],
  "fractional_positions": [[0.000, 0.500, 0.000], [0.500, 0.000, 0.000], [0.000, 0.000, 0.500], [0.500, 0.500, 0.500], [0.500, 0.500, 0.000]]
}



{
  "formula": "Y2Pt2Au",
  "functional": "SCAN",
  "state": "single point on PBEsol structure",
  "vol_a3_per_atom": 20.6,
  "energy_ev_per_atom": -54.332,
  "lattice_angstrom": [[7.481, 0.000, 0.000], [0.000, 7.481, 0.000], [0.000, 0.000, 3.673]],
  "species": ["Y", "Y", "Y", "Y", "Pt", "Pt", "Pt", "Pt", "Au", "Au"],
  "fractional_positions": [[0.171, 0.329, 0.000], [0.329, 0.829, 0.000], [0.671, 0.171, 0.000], [0.829, 0.671, 0.000], [0.132, 0.632, 0.500], [0.368, 0.132, 0.500], [0.632, 0.868, 0.500], [0.868, 0.368, 0.500], [0.000, 0.000, 0.500], [0.500, 0.500, 0.500]]
}



{
  "formula": "AlTeWN2",
  "functional": "SCAN",
  "state": "single point on PBEsol structure",
  "vol_a3_per_atom": 17.2,
  "e_form_raw_ev_per_atom": 0.428,
  "lattice_angstrom": [[3.932, 0.000, 0.000], [0.000, 3.932, 0.000], [0.000, 0.000, 5.565]],
  "species": ["Al", "Te", "W", "N", "N"],
  "fractional_positions": [[0.000, 0.000, 0.000], [0.500, 0.500, 0.000], [0.500, 0.500, 0.500], [0.000, 0.500, 0.500], [0.500, 0.000, 0.500]]
}



{
  "formula": "YSc2Fe",
  "functional": "SCAN",
  "state": "single point on PBEsol structure",
  "vol_a3_per_atom": 20.6,
  "energy_ev_per_atom": -18.564,
  "lattice_angstrom": [[3.282, 0.000, 0.000], [0.000, 5.014, 0.000], [0.000, 0.000, 9.997]],
  "species": ["Y", "Y", "Sc", "Sc", "Sc", "Sc", "Fe", "Fe"],
  "fractional_positions": [[0.000, 0.000, 0.000], [0.500, 0.500, 0.500], [0.000, 0.500, 0.195], [0.000, 0.500, 0.805], [0.500, 0.000, 0.305], [0.500, 0.000, 0.695], [0.000, 0.000, 0.500], [0.500, 0.500, 0.000]]
}



{
  "formula": "K2LiMo",
  "functional": "SCAN",
  "state": "single point on PBEsol structure",
  "vol_a3_per_atom": 37.9,
  "energy_ev_per_atom": -12.312,
  "lattice_angstrom": [[9.572, 0.000, 0.000], [0.000, 9.572, 0.000], [0.000, 0.000, 6.621]],
  "species": ["K", "K", "K", "K", "K", "K", "K", "K", "Li", "Li", "Li", "Li", "Mo", "Mo", "Mo", "Mo"],
  "fractional_positions": [[0.235, 0.750, 0.125], [0.250, 0.235, 0.875], [0.250, 0.265, 0.375], [0.265, 0.750, 0.625], [0.735, 0.250, 0.625], [0.750, 0.735, 0.375], [0.750, 0.765, 0.875], [0.765, 0.250, 0.125], [0.000, 0.000, 0.000], [0.000, 0.500, 0.250], [0.500, 0.000, 0.750], [0.500, 0.500, 0.500], [0.000, 0.000, 0.500], [0.000, 0.500, 0.750], [0.500, 0.000, 0.250], [0.500, 0.500, 0.000]]
}



{
  "formula": "LiTlHgPd2",
  "functional": "SCAN",
  "state": "single point on PBEsol structure",
  "vol_a3_per_atom": 23.0,
  "energy_ev_per_atom": -41.362,
  "lattice_angstrom": [[5.039, 0.000, 0.000], [0.000, 5.039, 0.000], [0.000, 0.000, 4.532]],
  "species": ["Li", "Tl", "Hg", "Pd", "Pd"],
  "fractional_positions": [[0.000, 0.000, 0.000], [0.500, 0.500, 0.000], [0.000, 0.000, 0.500], [0.000, 0.500, 0.500], [0.500, 0.000, 0.500]]
}



{
  "formula": "YSc2W",
  "functional": "SCAN",
  "state": "single point on PBEsol structure",
  "vol_a3_per_atom": 21.9,
  "energy_ev_per_atom": -31.102,
  "lattice_angstrom": [[3.646, 0.000, 0.000], [0.000, 4.778, 0.000], [0.000, 0.000, 10.061]],
  "species": ["Y", "Y", "Sc", "Sc", "Sc", "Sc", "W", "W"],
  "fractional_positions": [[0.000, 0.000, 0.000], [0.500, 0.500, 0.000], [0.000, 0.000, 0.561], [0.000, 0.500, 0.295], [0.500, 0.000, 0.295], [0.500, 0.500, 0.561], [0.000, 0.500, 0.771], [0.500, 0.000, 0.771]]
}



{
  "formula": "LaY2Mg",
  "functional": "SCAN",
  "state": "single point on PBEsol structure",
  "vol_a3_per_atom": 30.1,
  "energy_ev_per_atom": -25.975,
  "lattice_angstrom": [[3.603, 0.000, 0.000], [0.000, 3.603, 0.000], [0.000, 0.000, 9.273]],
  "species": ["La", "Y", "Y", "Mg"],
  "fractional_positions": [[0.000, 0.000, 0.000], [0.000, 0.000, 0.469], [0.500, 0.500, 0.728], [0.500, 0.500, 0.246]]
}



{
  "formula": "YCuP2",
  "functional": "SCAN",
  "state": "single point on PBEsol structure",
  "vol_a3_per_atom": 16.3,
  "energy_ev_per_atom": -16.940,
  "lattice_angstrom": [[3.679, 0.000, 0.000], [0.000, 3.679, 0.000], [0.000, 0.000, 9.610]],
  "species": ["Y", "Y", "Cu", "Cu", "P", "P", "P", "P"],
  "fractional_positions": [[0.250, 0.250, 0.233], [0.750, 0.750, 0.767], [0.250, 0.750, 0.500], [0.750, 0.250, 0.500], [0.250, 0.250, 0.655], [0.250, 0.750, 0.000], [0.750, 0.250, 0.000], [0.750, 0.750, 0.345]]
}



{
  "formula": "MoP2Os",
  "functional": "SCAN",
  "state": "single point on PBEsol structure",
  "vol_a3_per_atom": 13.9,
  "energy_ev_per_atom": -31.497,
  "lattice_angstrom": [[2.943, 0.000, 0.000], [0.000, 4.961, 0.000], [0.000, 0.000, 7.622]],
  "species": ["Mo", "Mo", "P", "P", "P", "P", "Os", "Os"],
  "fractional_positions": [[0.000, 0.000, 0.000], [0.500, 0.500, 0.000], [0.000, 0.500, 0.251], [0.000, 0.500, 0.749], [0.500, 0.000, 0.251], [0.500, 0.000, 0.749], [0.000, 0.000, 0.500], [0.500, 0.500, 0.500]]
}



{
  "formula": "SiTeRh2",
  "functional": "SCAN",
  "state": "single point on PBEsol structure",
  "vol_a3_per_atom": 15.5,
  "e_form_raw_ev_per_atom": -0.413,
  "lattice_angstrom": [[4.175, 0.000, 0.000], [0.000, 4.182, 0.000], [0.000, 0.000, 7.118]],
  "species": ["Si", "Si", "Te", "Te", "Rh", "Rh", "Rh", "Rh"],
  "fractional_positions": [[0.000, 0.000, 0.000], [0.500, 0.500, 0.000], [0.000, 0.000, 0.500], [0.500, 0.500, 0.500], [0.000, 0.500, 0.192], [0.000, 0.500, 0.808], [0.500, 0.000, 0.192], [0.500, 0.000, 0.808]]
}